(1)
PBE HoScIn2, optimized geometry; space-group type = No. 166; DFT formation energy = -0.29 eV/atom; Fermi-level density of states = 0.7658 states/eV per atom
1.0
3.559 0.000 0.000
1.780 3.082 0.000
1.780 1.027 9.556
Sc Ho In
1 1 2
Direct
0.500 0.500 0.500
0.000 0.000 0.000
0.753 0.753 0.740
0.247 0.247 0.260

***

(2)
PBE Tc2BI, optimized geometry; space-group type = No. 225; electronic total energy = -6.2097 eV/atom; Fermi-level density of states = 0.5634 states/eV per atom
1.0
3.172 -1.671 -2.405
1.184 -4.116 0.546
-0.909 -2.929 -3.039
Tc I B
2 1 1
Direct
0.750 0.750 0.750
0.250 0.250 0.250
0.500 0.500 0.500
0.000 0.000 0.000

***

(3)
PBE CsK3Au3, optimized geometry; space-group type = No. 223; DFT formation energy = -0.14 eV/atom; Fermi-level density of states = 0.7143 states/eV per atom
1.0
9.122 0.000 0.000
0.000 9.122 0.000
0.000 0.000 9.122
Au Cs K
6 2 6
Direct
0.500 0.000 0.250
0.250 0.500 0.000
0.750 0.500 0.000
0.500 0.000 0.750
0.000 0.250 0.500
0.000 0.750 0.500
0.500 0.500 0.500
0.000 0.000 0.000
0.000 0.500 0.250
0.500 0.750 0.000
0.250 0.000 0.500
0.750 0.000 0.500
0.000 0.500 0.750
0.500 0.250 0.000

***

(4)
PBE Ce2ZnOs, optimized geometry; space-group type = No. 14; DFT formation energy = -0.19 eV/atom; Fermi-level density of states = 1.6848 states/eV per atom
1.0
5.783 0.000 0.000
0.000 6.885 -0.356
0.000 0.561 8.898
Zn Ce Os
4 8 4
Direct
0.634 0.009 0.378
0.366 0.991 0.622
0.866 0.509 0.878
0.134 0.491 0.122
0.865 0.165 0.656
0.817 0.162 0.098
0.317 0.338 0.402
0.365 0.335 0.844
0.683 0.662 0.598
0.635 0.665 0.156
0.135 0.835 0.344
0.183 0.838 0.902
0.823 0.406 0.377
0.677 0.906 0.877
0.323 0.094 0.123
0.177 0.594 0.623

***

(5)
PBE Nd4YEr4, optimized geometry; space-group type = No. 139; DFT formation energy = 0.02 eV/atom; Fermi-level density of states = 1.4656 states/eV per atom
1.0
-1.846 -1.132 4.580
6.060 0.144 5.280
-2.233 6.836 3.592
Y Nd Er
1 4 4
Direct
0.000 0.000 0.000
0.668 0.665 0.000
0.332 0.335 0.000
0.333 0.000 0.335
0.667 0.000 0.665
0.000 0.664 0.336
0.664 0.336 0.336
0.000 0.336 0.664
0.336 0.664 0.664

***

(6)
PBE Li5La12Ge3, optimized geometry; space-group type = No. 230; DFT formation energy = 0.21 eV/atom; Fermi-level density of states = 1.5054 states/eV per atom
1.0
15.295 0.000 0.000
-5.098 14.420 0.000
-5.098 -7.210 12.488
La Li Ge
48 20 12
Direct
0.666 0.438 0.580
0.562 0.334 0.920
0.772 0.334 0.914
0.580 0.642 0.414
0.666 0.228 0.586
0.920 0.834 0.562
0.272 0.414 0.834
0.438 0.666 0.080
0.086 0.920 0.358
0.580 0.938 0.666
0.414 0.142 0.580
0.728 0.142 0.062
0.358 0.938 0.772
0.166 0.080 0.938
0.414 0.272 0.334
0.858 0.272 0.438
0.728 0.586 0.166
0.642 0.580 0.914
0.334 0.562 0.420
0.858 0.586 0.920
0.938 0.358 0.272
0.080 0.914 0.142
0.438 0.772 0.858
0.642 0.062 0.228
0.228 0.562 0.642
0.914 0.080 0.642
0.562 0.228 0.142
0.586 0.728 0.666
0.228 0.666 0.086
0.062 0.642 0.728
0.086 0.166 0.228
0.772 0.438 0.358
0.272 0.858 0.938
0.914 0.834 0.772
0.834 0.920 0.062
0.834 0.914 0.272
0.142 0.728 0.562
0.142 0.414 0.080
0.420 0.358 0.586
0.420 0.062 0.334
0.080 0.166 0.438
0.586 0.858 0.420
0.920 0.086 0.858
0.358 0.420 0.086
0.938 0.580 0.166
0.334 0.772 0.414
0.166 0.086 0.728
0.062 0.420 0.834
0.000 0.500 0.000
0.000 0.000 0.000
0.125 0.750 0.375
0.750 0.625 0.375
0.500 0.500 0.500
0.625 0.875 0.250
0.250 0.375 0.625
0.500 0.500 0.000
0.625 0.750 0.875
0.500 0.000 0.000
0.875 0.625 0.750
0.375 0.250 0.125
0.875 0.250 0.625
0.500 0.000 0.500
0.250 0.875 0.125
0.125 0.375 0.250
0.000 0.500 0.500
0.000 0.000 0.500
0.375 0.125 0.750
0.750 0.125 0.875
0.125 0.875 0.750
0.250 0.625 0.875
0.625 0.250 0.375
0.625 0.375 0.750
0.750 0.875 0.625
0.375 0.625 0.250
0.375 0.750 0.625
0.750 0.375 0.125
0.875 0.750 0.125
0.250 0.125 0.375
0.875 0.125 0.250
0.125 0.250 0.875

***

(7)
PBE ZnRuBr2O, optimized geometry; space-group type = No. 123; electronic total energy = -3.9670 eV/atom; Fermi-level density of states = 0.9929 states/eV per atom
1.0
-3.026 0.901 4.264
-1.767 -3.191 -0.580
3.543 -2.515 3.046
Zn Br O Ru
1 2 1 1
Direct
0.500 0.500 0.500
0.000 0.000 0.500
0.500 0.000 0.000
0.000 0.500 0.000
0.000 0.000 0.000

***

(8)
PBE BeTl2W, optimized geometry; space-group type = No. 123; DFT formation energy = 1.14 eV/atom; Fermi-level density of states = 0.5172 states/eV per atom
1.0
2.959 0.000 0.000
0.000 2.959 0.000
0.000 0.000 8.744
Be Tl W
1 2 1
Direct
0.500 0.500 0.750
0.000 0.000 0.979
0.000 0.000 0.521
0.500 0.500 0.250